Model A:
A relaxed RbHf3P crystal, computed with PBEsol.

abc: 4.9849 4.9849 4.9849
angles: 90.00 90.00 90.00
Atoms (fractional coordinates):
Rb (0.0000, 0.0000, 0.0000)
Hf (0.0000, 0.5000, 0.5000)
Hf (0.5000, 0.0000, 0.5000)
Hf (0.5000, 0.5000, 0.0000)
P (0.5000, 0.5000, 0.5000)

Summary:
Total moment in μB/cell: 0.000

---

Model B:
A relaxed RbHf3P crystal, computed with PBEsol.

abc: 4.9117 4.9117 4.9117
angles: 90.00 90.00 90.00
Atoms (fractional coordinates):
Rb (0.0000, 0.0000, 0.0000)
Hf (0.0000, 0.0000, 0.5000)
Hf (0.0000, 0.5000, 0.0000)
Hf (0.5000, 0.0000, 0.0000)
P (0.5000, 0.5000, 0.5000)

Summary:
Total moment in μB/cell: 0.003

---

Stability check: which of them is least stable? model B.

---

Model A:
A relaxed HfSnP2S crystal, computed with PBEsol.

abc: 4.5702 4.5702 4.7671
angles: 90.00 90.00 90.00
Atoms (fractional coordinates):
Hf (0.0000, 0.0000, 0.0000)
Sn (0.5000, 0.5000, 0.0000)
P (0.0000, 0.5000, 0.5000)
P (0.5000, 0.0000, 0.5000)
S (0.0000, 0.0000, 0.5000)

Summary:
Total moment in μB/cell: 0.000

---

Model B:
A relaxed HfSnP2S crystal, computed with PBEsol.

abc: 4.9602 4.9602 4.8172
angles: 90.00 90.00 90.00
Atoms (fractional coordinates):
Hf (0.0000, 0.0000, 0.0000)
Sn (0.5000, 0.5000, 0.5000)
P (0.0000, 0.5000, 0.0000)
P (0.5000, 0.0000, 0.0000)
S (0.0000, 0.0000, 0.5000)

Summary:
Total moment in μB/cell: 0.001

---

Stability check: which of them is least stable? model A.

---

Model A:
A relaxed HfScSi2 crystal, computed with PBEsol.

abc: 5.8142 5.8142 5.8142
angles: 104.29 104.29 120.42
Atoms (fractional coordinates):
Hf (0.0000, 0.0000, 0.0000)
Hf (0.7500, 0.2500, 0.5000)
Sc (0.2500, 0.7500, 0.5000)
Sc (0.5000, 0.5000, 0.0000)
Si (0.1244, 0.1250, 0.4994)
Si (0.3750, 0.8756, 0.0006)
Si (0.6256, 0.6250, 0.5006)
Si (0.8750, 0.3744, 0.9994)

Summary:
Total moment in μB/cell: 0.000

---

Model B:
A relaxed HfScSi2 crystal, computed with PBEsol.

abc: 3.6836 5.2392 5.2392
angles: 42.32 90.00 90.00
Atoms (fractional coordinates):
Hf (0.0000, 0.0000, 0.0000)
Sc (0.5000, 0.2832, 0.2832)
Si (0.0000, 0.7218, 0.7218)
Si (0.5000, 0.5582, 0.5582)

Summary:
Total moment in μB/cell: 0.000

---

Stability check: which of them is least stable? model A.

---

Model A:
A relaxed HfTeSe3 crystal, computed with PBEsol.

abc: 5.0871 5.0871 5.0871
angles: 90.00 90.00 90.00
Atoms (fractional coordinates):
Hf (0.0000, 0.0000, 0.0000)
Te (0.5000, 0.5000, 0.5000)
Se (0.0000, 0.0000, 0.5000)
Se (0.0000, 0.5000, 0.0000)
Se (0.5000, 0.0000, 0.0000)

Summary:
Total moment in μB/cell: 0.000

---

Model B:
A relaxed HfTeSe3 crystal, computed with PBEsol.

abc: 5.1622 5.1622 5.1622
angles: 90.00 90.00 90.00
Atoms (fractional coordinates):
Hf (0.0000, 0.0000, 0.0000)
Te (0.5000, 0.5000, 0.5000)
Se (0.0000, 0.5000, 0.5000)
Se (0.5000, 0.0000, 0.5000)
Se (0.5000, 0.5000, 0.0000)

Summary:
Total moment in μB/cell: 1.183

---

Stability check: which of them is least stable? model B.

---

Model A:
A relaxed HfTiSe2 crystal, computed with PBEsol.

abc: 8.6828 8.6828 8.6828
angles: 22.35 22.35 22.35
Atoms (fractional coordinates):
Hf (0.0000, 0.0000, 0.0000)
Ti (0.5000, 0.5000, 0.5000)
Se (0.1029, 0.1029, 0.1029)
Se (0.8971, 0.8971, 0.8971)

Summary:
Total moment in μB/cell: 0.003

---

Model B:
A relaxed HfTiSe2 crystal, computed with PBEsol.

abc: 4.5626 4.5626 4.5626
angles: 60.00 60.00 60.00
Atoms (fractional coordinates):
Hf (0.0000, 0.0000, 0.0000)
Ti (0.5000, 0.5000, 0.5000)
Se (0.2500, 0.2500, 0.2500)
Se (0.7500, 0.7500, 0.7500)

Summary:
Total moment in μB/cell: 0.000

---

Stability check: which of them is least stable? model A.

---

Model A:
A relaxed Hf2SiTe crystal, computed with PBEsol.

abc: 7.5821 7.5821 7.5821
angles: 132.82 132.82 68.93
Atoms (fractional coordinates):
Hf (0.0830, 0.6250, 0.9580)
Hf (0.3750, 0.3330, 0.4580)
Hf (0.6670, 0.1250, 0.0420)
Hf (0.8750, 0.9170, 0.5420)
Si (0.0000, 0.0000, 0.0000)
Si (0.7500, 0.2500, 0.5000)
Te (0.2500, 0.7500, 0.5000)
Te (0.5000, 0.5000, 0.0000)

Summary:
Total moment in μB/cell: 0.000

---

Model B:
A relaxed Hf2SiTe crystal, computed with PBEsol.

abc: 4.7867 4.7867 4.7867
angles: 60.00 60.00 60.00
Atoms (fractional coordinates):
Hf (0.2500, 0.2500, 0.2500)
Hf (0.7500, 0.7500, 0.7500)
Si (0.0000, 0.0000, 0.0000)
Te (0.5000, 0.5000, 0.5000)

Summary:
Total moment in μB/cell: 0.001

---

Stability check: which of them is least stable? model A.

---

Model A:
A relaxed Hf3ZrSn crystal, computed with PBEsol.

abc: 5.0238 5.0238 5.0238
angles: 90.00 90.00 90.00
Atoms (fractional coordinates):
Hf (0.0000, 0.0000, 0.5000)
Hf (0.0000, 0.5000, 0.0000)
Hf (0.5000, 0.0000, 0.0000)
Zr (0.0000, 0.0000, 0.0000)
Sn (0.5000, 0.5000, 0.5000)

Summary:
Total moment in μB/cell: 0.003

---

Model B:
A relaxed Hf3ZrSn crystal, computed with PBEsol.

abc: 5.1515 5.1515 5.1515
angles: 90.00 90.00 90.00
Atoms (fractional coordinates):
Hf (0.0000, 0.0000, 0.5000)
Hf (0.0000, 0.5000, 0.0000)
Hf (0.5000, 0.0000, 0.0000)
Zr (0.5000, 0.5000, 0.5000)
Sn (0.0000, 0.0000, 0.0000)

Summary:
Total moment in μB/cell: 0.411

---

Stability check: which of them is least stable? model A.

---

Model A:
A relaxed Hg crystal, computed with PBEsol.

abc: 7.8924 7.8924 7.8924
angles: 90.00 90.00 90.00
Atoms (fractional coordinates):
Hg (0.0493, 0.0493, 0.0493)
Hg (0.0546, 0.8750, 0.6954)
Hg (0.1250, 0.1954, 0.4454)
Hg (0.1954, 0.4454, 0.1250)
Hg (0.2007, 0.7993, 0.2993)
Hg (0.2993, 0.2007, 0.7993)
Hg (0.3046, 0.5546, 0.6250)
Hg (0.3750, 0.8046, 0.9454)
Hg (0.4454, 0.1250, 0.1954)
Hg (0.4507, 0.9507, 0.5493)
Hg (0.5493, 0.4507, 0.9507)
Hg (0.5546, 0.6250, 0.3046)
Hg (0.6250, 0.3046, 0.5546)
Hg (0.6954, 0.0546, 0.8750)
Hg (0.7007, 0.7007, 0.7007)
Hg (0.7993, 0.2993, 0.2007)
Hg (0.8046, 0.9454, 0.3750)
Hg (0.8750, 0.6954, 0.0546)
Hg (0.9454, 0.3750, 0.8046)
Hg (0.9507, 0.5493, 0.4507)

Summary:
Total moment in μB/cell: 0.000

---

Model B:
A relaxed Hg crystal, computed with PBEsol.

abc: 9.6664 9.6664 9.6664
angles: 109.47 109.47 109.47
Atoms (fractional coordinates):
Hg (0.0000, 0.0000, 0.0000)
Hg (0.0000, 0.0000, 0.6769)
Hg (0.0000, 0.1946, 0.3882)
Hg (0.0000, 0.3882, 0.1946)
Hg (0.0000, 0.4215, 0.6980)
Hg (0.0000, 0.6769, 0.0000)
Hg (0.0000, 0.6980, 0.4215)
Hg (0.1935, 0.8054, 0.8054)
Hg (0.1946, 0.0000, 0.3882)
Hg (0.1946, 0.3882, 0.0000)
Hg (0.2765, 0.5785, 0.5785)
Hg (0.3020, 0.3020, 0.7235)
Hg (0.3020, 0.7235, 0.3020)
Hg (0.3231, 0.3231, 0.3231)
Hg (0.3882, 0.0000, 0.1946)
Hg (0.3882, 0.1946, 0.0000)
Hg (0.4215, 0.0000, 0.6980)
Hg (0.4215, 0.6980, 0.0000)
Hg (0.5785, 0.2765, 0.5785)
Hg (0.5785, 0.5785, 0.2765)
Hg (0.6118, 0.6118, 0.8065)
Hg (0.6118, 0.8065, 0.6118)
Hg (0.6769, 0.0000, 0.0000)
Hg (0.6980, 0.0000, 0.4215)
Hg (0.6980, 0.4215, 0.0000)
Hg (0.7235, 0.3020, 0.3020)
Hg (0.8054, 0.1935, 0.8054)
Hg (0.8054, 0.8054, 0.1935)
Hg (0.8065, 0.6118, 0.6118)

Summary:
Total moment in μB/cell: 0.000

---

Model C:
A relaxed Hg crystal, computed with PBEsol.

abc: 4.6675 4.6675 4.6675
angles: 60.00 60.00 60.00
Atoms (fractional coordinates):
Hg (0.1250, 0.1250, 0.1250)
Hg (0.8750, 0.8750, 0.8750)

Summary:
Total moment in μB/cell: 0.000

---

Model D:
A relaxed Hg crystal, computed with PBEsol.

abc: 3.1383 3.1383 3.1383
angles: 111.82 111.20 105.47
Atoms (fractional coordinates):
Hg (0.0000, 0.0000, 0.0000)

Summary:
Total moment in μB/cell: 0.000

---

Stability check: which of them is least stable? model C.

---

Model A:
A relaxed InHg2I crystal, computed with PBEsol.

abc: 5.5108 5.5108 5.5108
angles: 60.00 60.00 60.00
Atoms (fractional coordinates):
In (0.0000, 0.0000, 0.0000)
Hg (0.2500, 0.2500, 0.2500)
Hg (0.7500, 0.7500, 0.7500)
I (0.5000, 0.5000, 0.5000)

Summary:
Total moment in μB/cell: 0.000

---

Model B:
A relaxed InHg2I crystal, computed with PBEsol.

abc: 6.8565 6.8565 6.8565
angles: 102.81 102.81 123.82
Atoms (fractional coordinates):
In (0.0000, 0.0000, 0.0000)
In (0.7500, 0.2500, 0.5000)
Hg (0.0965, 0.1250, 0.4715)
Hg (0.3750, 0.9035, 0.0285)
Hg (0.6535, 0.6250, 0.5285)
Hg (0.8750, 0.3465, 0.9715)
I (0.2500, 0.7500, 0.5000)
I (0.5000, 0.5000, 0.0000)

Summary:
Total moment in μB/cell: 0.000

---

Stability check: which of them is least stable? model A.

---

Model A:
A relaxed HgSbI2N crystal, computed with PBEsol.

abc: 6.0459 6.0459 3.9340
angles: 90.00 90.00 90.00
Atoms (fractional coordinates):
Hg (0.0000, 0.0000, 0.0000)
Sb (0.5000, 0.5000, 0.5000)
I (0.0000, 0.5000, 0.5000)
I (0.5000, 0.0000, 0.5000)
N (0.5000, 0.5000, 0.0000)

Summary:
Total moment in μB/cell: 0.000

---

Model B:
A relaxed HgSbI2N crystal, computed with PBEsol.

abc: 5.0773 5.0773 4.7121
angles: 90.00 90.00 90.00
Atoms (fractional coordinates):
Hg (0.0000, 0.0000, 0.0000)
Sb (0.5000, 0.5000, 0.0000)
I (0.0000, 0.5000, 0.5000)
I (0.5000, 0.0000, 0.5000)
N (0.5000, 0.5000, 0.5000)

Summary:
Total moment in μB/cell: 0.002

---

Stability check: which of them is least stable? model B.

---

Model A:
A relaxed HgSe2IN crystal, computed with PBEsol.

abc: 5.3821 5.3821 4.0823
angles: 90.00 90.00 90.00
Atoms (fractional coordinates):
Hg (0.0000, 0.0000, 0.0000)
Se (0.0000, 0.5000, 0.0000)
Se (0.5000, 0.0000, 0.0000)
I (0.5000, 0.5000, 0.5000)
N (0.0000, 0.0000, 0.5000)

Summary:
Total moment in μB/cell: 1.760

---

Model B:
A relaxed HgSe2IN crystal, computed with PBEsol.

abc: 5.4334 5.4334 3.9404
angles: 90.00 90.00 90.00
Atoms (fractional coordinates):
Hg (0.0000, 0.0000, 0.0000)
Se (0.0000, 0.5000, 0.5000)
Se (0.5000, 0.0000, 0.5000)
I (0.5000, 0.5000, 0.5000)
N (0.5000, 0.5000, 0.0000)

Summary:
Total moment in μB/cell: 0.002

---

Stability check: which of them is least stable? model A.

---

Model A:
A relaxed HgSb2IO crystal, computed with PBEsol.

abc: 4.4466 4.4466 6.7046
angles: 90.00 90.00 90.00
Atoms (fractional coordinates):
Hg (0.0000, 0.0000, 0.0000)
Sb (0.0000, 0.5000, 0.5000)
Sb (0.5000, 0.0000, 0.5000)
I (0.5000, 0.5000, 0.0000)
O (0.5000, 0.5000, 0.5000)

Summary:
Total moment in μB/cell: 0.000

---

Model B:
A relaxed HgSb2IO crystal, computed with PBEsol.

abc: 5.4988 5.4988 5.7426
angles: 90.00 90.00 90.00
Atoms (fractional coordinates):
Hg (0.0000, 0.0000, 0.0000)
Sb (0.0000, 0.5000, 0.0000)
Sb (0.5000, 0.0000, 0.0000)
I (0.0000, 0.0000, 0.5000)
O (0.5000, 0.5000, 0.5000)

Summary:
Total moment in μB/cell: 0.402

---

Stability check: which of them is least stable? model B.